[1]
# BaMoIO6 GGA+U relaxed
# DOS(E_F) ... 0.00 states/eV per cell
# Energy ... -5.96 eV/atom
# Volume ... 16.85 Å³ per atom
data_BaMoIO6
_chemical_formula_sum 'Ba1 Mo1 I1 O6'
_cell_length_a 5.333
_cell_length_b 5.642
_cell_length_c 5.681
_cell_angle_alpha 88.64
_cell_angle_beta 62.62
_cell_angle_gamma 87.65
_symmetry_space_group_name_H-M 'P 1'
_symmetry_Int_Tables_number 1
_symmetry_space_group_name_Hall 'P 1'
loop_
_atom_site_label
_atom_site_type_symbol
_atom_site_fract_x
_atom_site_fract_y
_atom_site_fract_z
Ba1 Ba 0.000 0.000 0.000
Mo1 Mo 0.677 0.502 0.677
I1 I 0.344 0.527 0.340
O1 O 0.010 0.736 0.422
O2 O 0.042 0.351 0.657
O3 O 0.416 0.720 0.580
O4 O 0.461 0.284 0.905
O5 O 0.588 0.721 0.007
O6 O 0.701 0.347 0.353


[2]
# BaMoI2O GGA+U relaxed
# DOS(E_F) ... 6.45 states/eV per cell
# Energy ... -3.70 eV/atom
# Volume ... 41.47 Å³ per atom
data_BaMoI2O
_chemical_formula_sum 'Ba1 Mo1 I2 O1'
_cell_length_a 6.775
_cell_length_b 6.775
_cell_length_c 4.518
_cell_angle_alpha 90.00
_cell_angle_beta 90.00
_cell_angle_gamma 90.00
_symmetry_space_group_name_H-M 'P 4/m m m'
_symmetry_Int_Tables_number 123
_symmetry_space_group_name_Hall '-P 4 2'
loop_
_atom_site_label
_atom_site_type_symbol
_atom_site_fract_x
_atom_site_fract_y
_atom_site_fract_z
Ba1 Ba 0.000 0.000 0.000
Mo1 Mo 0.500 0.500 0.500
I1 I 0.000 0.500 0.000
O1 O 0.000 0.000 0.500


[3]
# BaMo6I2O25 GGA+U relaxed
# Energy ... -6.34 eV/atom
# Volume ... 15.79 Å³ per atom
data_BaMo6I2O25
_chemical_formula_sum 'Ba4 Mo24 I8 O100'
_cell_length_a 13.610
_cell_length_b 7.653
_cell_length_c 21.682
_cell_angle_alpha 90.00
_cell_angle_beta 107.99
_cell_angle_gamma 90.00
_symmetry_space_group_name_H-M 'C 1 2/c 1'
_symmetry_Int_Tables_number 15
_symmetry_space_group_name_Hall '-C 2yc'
loop_
_atom_site_label
_atom_site_type_symbol
_atom_site_fract_x
_atom_site_fract_y
_atom_site_fract_z
Ba1 Ba 0.000 0.133 0.250
Mo1 Mo 0.022 0.499 0.585
Mo2 Mo 0.202 0.126 0.654
Mo3 Mo 0.219 0.220 0.916
I1 I 0.123 0.125 0.496
O1 O 0.000 0.242 0.750
O2 O 0.009 0.340 0.138
O3 O 0.046 0.358 0.497
O4 O 0.072 0.038 0.560
O5 O 0.089 0.367 0.923
O6 O 0.120 0.341 0.636
O7 O 0.134 0.079 0.862
O8 O 0.135 0.035 0.703
O9 O 0.158 0.376 0.076
O10 O 0.186 0.287 0.294
O11 O 0.204 0.105 0.997
O12 O 0.235 0.410 0.864
O13 O 0.236 0.212 0.560


[4]
# BaMoIO4 GGA+U relaxed
# Energy ... -6.21 eV/atom
# Volume ... 25.59 Å³ per atom
data_BaMoIO4
_chemical_formula_sum 'Ba4 Mo4 I4 O16'
_cell_length_a 13.188
_cell_length_b 7.228
_cell_length_c 7.691
_cell_angle_alpha 90.00
_cell_angle_beta 102.25
_cell_angle_gamma 90.00
_symmetry_space_group_name_H-M 'C 1 2/m 1'
_symmetry_Int_Tables_number 12
_symmetry_space_group_name_Hall '-C 2y'
loop_
_atom_site_label
_atom_site_type_symbol
_atom_site_fract_x
_atom_site_fract_y
_atom_site_fract_z
Ba1 Ba 0.208 0.000 0.313
Mo1 Mo 0.132 0.000 0.740
I1 I 0.020 0.500 0.178
O1 O 0.004 0.000 0.274
O2 O 0.172 0.198 0.624
O3 O 0.198 0.000 0.968


[5]
# BaMoI2O GGA+U relaxed
# DOS(E_F) ... 1.43 states/eV per cell
# Energy ... -4.39 eV/atom
# Volume ... 31.71 Å³ per atom
data_BaMoI2O
_chemical_formula_sum 'Ba1 Mo1 I2 O1'
_cell_length_a 6.275
_cell_length_b 6.275
_cell_length_c 4.026
_cell_angle_alpha 90.00
_cell_angle_beta 90.00
_cell_angle_gamma 90.00
_symmetry_space_group_name_H-M 'P 4/m m m'
_symmetry_Int_Tables_number 123
_symmetry_space_group_name_Hall '-P 4 2'
loop_
_atom_site_label
_atom_site_type_symbol
_atom_site_fract_x
_atom_site_fract_y
_atom_site_fract_z
Ba1 Ba 0.000 0.000 0.000
Mo1 Mo 0.500 0.500 0.500
I1 I 0.000 0.500 0.500
O1 O 0.500 0.500 0.000


Number 1: total magnetization 1.000 μB/f.u.. Number 2: total magnetization 4.673 μB/f.u.. Number 3: total magnetization 2.001 μB/f.u.. Number 4: total magnetization 0.000 μB/f.u.. Number 5: total magnetization 3.283 μB/f.u..